#w
The following is a DFT calculation (GGA-PBE) of a relaxed MgTaH2 crystal.

The structure belongs to space group Fm-3m (No. 225); the cell edges are 5.490, 5.490 and 5.490 Å and the angles 90.00°, 90.00° and 90.00°. The inequivalent atoms are Mg at (0.000, 0.000, 0.000), Ta at (0.000, 0.000, 0.500) and H at (0.250, 0.250, 0.250).

For the mass density, the calculation gives 8.3 g/cm³.

***

#x
The following is a DFT calculation (GGA-PBE) of a relaxed MgTaH2 crystal.

The structure belongs to space group R3m (No. 160, hexagonal axes); the cell edges are 3.0910, 3.0910 and 16.4358 Å and the angles 90.00°, 90.00° and 120.00°. The inequivalent atoms are Mg at (0.0000, 0.0000, 0.0000), Ta at (0.0000, 0.0000, 0.1810), H at (0.0000, 0.0000, 0.5616) and H at (0.0000, 0.0000, 0.7929).

For the mass density, the calculation gives 7.6 g/cm³.

***

#y
The following is a DFT calculation (GGA-PBE) of a relaxed MgTaH2 crystal.

The structure belongs to space group I-42d (No. 122); the cell edges are 4.883, 4.883 and 7.336 Å and the angles 90.00°, 90.00° and 90.00°. The inequivalent atoms are Mg at (0.000, 0.000, 0.000), Ta at (0.000, 0.000, 0.500) and H at (0.222, 0.250, 0.625).

For the mass density, the calculation gives 7.9 g/cm³.

***

Most stable: #x. Least stable: #w.